1.
CeY2PuO8, relaxed, DFT PBE-GGA; density of states at the Fermi level = 0.542 states/eV/atom; size of the total moment = 2.00 μB/cell; energy relative to the elements, uncorrected = -38.19 eV per formula unit
1.0
-1.3236 -2.2011 2.8268
4.9738 -0.3949 2.0092
-1.2248 6.1550 4.2190
Y O Pu Ce
2 8 1 1
direct
0.5000 0.5002 0.2489
0.5000 0.4998 0.7511
0.0006 0.7602 0.7693
0.9994 0.2404 0.7688
0.5003 0.7517 0.5003
0.4994 0.2294 0.9998
0.0006 0.7596 0.2312
0.5006 0.7706 0.0002
0.9994 0.2398 0.2307
0.4997 0.2483 0.4997
0.0000 0.0000 0.0000
0.0000 0.0000 0.5000



2.
CePuZnO6, relaxed, DFT PBE-GGA; density of states at the Fermi level = 0.859 states/eV/atom; size of the total moment = 4.02 μB/cell; energy relative to the elements, uncorrected = -22.29 eV per formula unit
1.0
5.3605 0.0000 0.0000
-2.6803 4.6424 0.0000
0.0000 0.0000 10.0671
Ce O Pu Zn
2 12 2 2
direct
0.0000 0.0000 0.5000
0.0000 0.0000 0.0000
0.6605 0.6503 0.1351
0.6503 0.6605 0.6351
0.6503 0.9898 0.8649
0.6605 0.0102 0.3649
0.0102 0.6605 0.8649
0.9898 0.6503 0.3649
0.3497 0.0102 0.1351
0.3395 0.9898 0.6351
0.0102 0.3497 0.6351
0.9898 0.3395 0.1351
0.3497 0.3395 0.3649
0.3395 0.3497 0.8649
0.3333 0.6667 0.7500
0.6667 0.3333 0.2500
0.6667 0.3333 0.7500
0.3333 0.6667 0.2500



3.
Rb2Ce2O5, relaxed, DFT PBE-GGA; size of the total moment = 0.00 μB/cell; energy relative to the elements, uncorrected = -23.78 eV per formula unit
1.0
-2.3285 3.1695 5.0911
-5.6829 -2.6563 -0.9455
6.2805 -6.9845 3.1561
Rb O Ce
4 10 4
direct
0.4044 0.8912 0.7834
0.1211 0.6078 0.2166
0.8789 0.3912 0.7834
0.5956 0.1078 0.2166
0.7573 0.2509 0.0106
0.3984 0.3480 0.7242
0.8258 0.8480 0.7242
0.0987 0.6038 0.5000
0.2427 0.2403 0.9894
0.1742 0.1238 0.2758
0.9013 0.1038 0.5000
0.6016 0.6238 0.2758
0.7532 0.7509 0.0106
0.2468 0.7403 0.9894
0.0000 0.9953 0.0000
0.5000 0.4953 0.0000
0.8062 0.7748 0.5000
0.1938 0.2748 0.5000



4.
Rb5CeO5, relaxed, DFT PBE-GGA; density of states at the Fermi level = 0.962 states/eV/atom; size of the total moment = 1.11 μB/cell; energy relative to the elements, uncorrected = -18.19 eV per formula unit
1.0
-0.4385 -5.4521 -0.7237
1.9310 1.7882 6.3903
-7.7177 0.6530 -0.2432
O Rb Ce
5 5 1
direct
0.8681 0.7363 0.7293
0.1319 0.2637 0.2707
0.8744 0.7487 0.1361
0.1256 0.2513 0.8639
0.5000 0.0000 0.0000
0.3120 0.6240 0.6898
0.0000 0.0000 0.5000
0.6880 0.3760 0.3102
0.3273 0.6546 0.1548
0.6727 0.3454 0.8452
0.0000 0.0000 0.0000



So what do the calculations give for ρ? Going down the list: 7.374 7.232 4.901 4.176 Mg/m³.